VASP calculation (GGA-PBE) on an optimized crystal structure of Ti4BiC2.

Values from the calculation:
Electronic total energy ... -8.22 eV per atom
Calculated formation energy ... -518 meV per atom
Calculated volume ... 14.4 Å³ per atom

CIF file:
```
data_Ti4BiC2
_chemical_formula_sum 'Ti16 Bi4 C8'
_symmetry_space_group_name_H-M 'C m c m'
_symmetry_Int_Tables_number 63
_symmetry_space_group_name_Hall '-C 2c 2'
_cell_length_a 3.2900
_cell_length_b 10.7957
_cell_length_c 11.3519
_cell_angle_alpha 90.00
_cell_angle_beta 90.00
_cell_angle_gamma 90.00
loop_
_atom_site_label
_atom_site_type_symbol
_atom_site_fract_x
_atom_site_fract_y
_atom_site_fract_z
Ti1 Ti 0.0000 0.0000 0.0000
Ti2 Ti 0.0000 0.2510 0.0970
Ti3 Ti 0.0000 0.3989 0.7500
Bi1 Bi 0.0000 0.1070 0.7500
C1 C 0.0000 0.3672 0.5587
```

=====

VASP calculation (GGA-PBE) on an optimized crystal structure of Tb3NdY4.

Values from the calculation:
Electronic total energy ... -5.39 eV per atom
Polymorph energy (0 for the lowest one) ... 163 meV/atom
Calculated formation energy ... 173 meV per atom
Calculated volume ... 33.3 Å³ per atom

CIF file:
```
data_Tb3NdY4
_chemical_formula_sum 'Tb6 Nd2 Y8'
_symmetry_space_group_name_H-M 'I m m m'
_symmetry_Int_Tables_number 71
_symmetry_space_group_name_Hall '-I 2 2'
_cell_length_a 3.4824
_cell_length_b 6.6968
_cell_length_c 22.8472
_cell_angle_alpha 90.00
_cell_angle_beta 90.00
_cell_angle_gamma 90.00
loop_
_atom_site_label
_atom_site_type_symbol
_atom_site_fract_x
_atom_site_fract_y
_atom_site_fract_z
Tb1 Tb 0.0000 0.0000 0.0000
Tb2 Tb 0.0000 0.0000 0.2397
Nd1 Nd 0.0000 0.0000 0.5000
Y1 Y 0.0000 0.2560 0.3745
```

=====

VASP calculation (GGA-PBE) on an optimized crystal structure of TbZr2O.

Values from the calculation:
Electronic total energy ... -7.59 eV per atom
Calculated volume ... 20.9 Å³ per atom
ΔE_f (raw) ... -0.92 eV per atom

CIF file:
```
data_TbZr2O
_chemical_formula_sum 'Tb3 Zr6 O3'
_symmetry_space_group_name_H-M 'R -3 m'
_symmetry_Int_Tables_number 166
_symmetry_space_group_name_Hall '-R 3 2"'
_cell_length_a 3.3321
_cell_length_b 3.3321
_cell_length_c 26.0820
_cell_angle_alpha 90.00
_cell_angle_beta 90.00
_cell_angle_gamma 120.00
loop_
_atom_site_label
_atom_site_type_symbol
_atom_site_fract_x
_atom_site_fract_y
_atom_site_fract_z
Tb1 Tb 0.0000 0.0000 0.0000
Zr1 Zr 0.0000 0.0000 0.1195
O1 O 0.0000 0.0000 0.5000
```

=====

VASP calculation (GGA-PBE) on an optimized crystal structure of PrPaAg.

Values from the calculation:
Electronic total energy ... -5.22 eV per atom
Calculated formation energy ... 489 meV per atom
Calculated volume ... 30.3 Å³ per atom

CIF file:
```
data_PrPaAg
_chemical_formula_sum 'Pr8 Pa8 Ag8'
_symmetry_space_group_name_H-M 'F m m m'
_symmetry_Int_Tables_number 69
_symmetry_space_group_name_Hall '-F 2 2'
_cell_length_a 5.3137
_cell_length_b 7.5043
_cell_length_c 18.2385
_cell_angle_alpha 90.00
_cell_angle_beta 90.00
_cell_angle_gamma 90.00
loop_
_atom_site_label
_atom_site_type_symbol
_atom_site_fract_x
_atom_site_fract_y
_atom_site_fract_z
Pr1 Pr 0.0000 0.0000 0.1005
Pa1 Pa 0.2500 0.2500 0.2500
Ag1 Ag 0.0000 0.1778 0.5000
```

=====

VASP calculation (GGA-PBE) on an optimized crystal structure of BaRhO4.

Values from the calculation:
Electronic total energy ... -5.64 eV per atom
Calculated volume ... 13.4 Å³ per atom
ΔE_f (raw) ... -0.78 eV per atom

CIF file:
```
data_BaRhO4
_chemical_formula_sum 'Ba1 Rh1 O4'
_symmetry_space_group_name_H-M 'P 4/m m m'
_symmetry_Int_Tables_number 123
_symmetry_space_group_name_Hall '-P 4 2'
_cell_length_a 3.5907
_cell_length_b 3.5907
_cell_length_c 6.2374
_cell_angle_alpha 90.00
_cell_angle_beta 90.00
_cell_angle_gamma 90.00
loop_
_atom_site_label
_atom_site_type_symbol
_atom_site_fract_x
_atom_site_fract_y
_atom_site_fract_z
Ba1 Ba 0.0000 0.0000 0.0000
Rh1 Rh 0.5000 0.5000 0.5000
O1 O 0.0000 0.5000 0.3155
```

=====

VASP calculation (GGA-PBE) on an optimized crystal structure of Li2CuMo.

Values from the calculation:
Electronic total energy ... -4.29 eV per atom
Polymorph energy (0 for the lowest one) ... 201 meV/atom
Calculated formation energy ... 400 meV per atom
Calculated volume ... 14.5 Å³ per atom

CIF file:
```
data_Li2CuMo
_chemical_formula_sum 'Li4 Cu2 Mo2'
_symmetry_space_group_name_H-M 'C m m m'
_symmetry_Int_Tables_number 65
_symmetry_space_group_name_Hall '-C 2 2'
_cell_length_a 5.2957
_cell_length_b 8.9743
_cell_length_c 2.4456
_cell_angle_alpha 90.00
_cell_angle_beta 90.00
_cell_angle_gamma 90.00
loop_
_atom_site_label
_atom_site_type_symbol
_atom_site_fract_x
_atom_site_fract_y
_atom_site_fract_z
Li1 Li 0.2500 0.2500 0.0000
Cu1 Cu 0.0000 0.0000 0.5000
Mo1 Mo 0.0000 0.5000 0.5000
```

=====

VASP calculation (GGA-PBE) on an optimized crystal structure of CoAsBr2.

Values from the calculation:
Electronic total energy ... -3.57 eV per atom
Polymorph energy (0 for the lowest one) ... 291 meV/atom
Calculated volume ... 23.3 Å³ per atom
ΔE_f (raw) ... 0.21 eV per atom

CIF file:
```
data_CoAsBr2
_chemical_formula_sum 'Co3 As3 Br6'
_symmetry_space_group_name_H-M 'R -3 m'
_symmetry_Int_Tables_number 166
_symmetry_space_group_name_Hall '-R 3 2"'
_cell_length_a 3.5838
_cell_length_b 3.5838
_cell_length_c 25.1331
_cell_angle_alpha 90.00
_cell_angle_beta 90.00
_cell_angle_gamma 120.00
loop_
_atom_site_label
_atom_site_type_symbol
_atom_site_fract_x
_atom_site_fract_y
_atom_site_fract_z
Co1 Co 0.0000 0.0000 0.0000
As1 As 0.0000 0.0000 0.5000
Br1 Br 0.0000 0.0000 0.3920
```

=====

VASP calculation (GGA-PBE) on an optimized crystal structure of La3Tb6Sc2.

Values from the calculation:
Electronic total energy ... -4.98 eV per atom
Calculated formation energy ... 44 meV per atom
Calculated volume ... 31.7 Å³ per atom

CIF file:
```
data_La3Tb6Sc2
_chemical_formula_sum 'La9 Tb18 Sc6'
_symmetry_space_group_name_H-M 'R -3 m'
_symmetry_Int_Tables_number 166
_symmetry_space_group_name_Hall '-R 3 2"'
_cell_length_a 3.5635
_cell_length_b 3.5635
_cell_length_c 95.2151
_cell_angle_alpha 90.00
_cell_angle_beta 90.00
_cell_angle_gamma 120.00
loop_
_atom_site_label
_atom_site_type_symbol
_atom_site_fract_x
_atom_site_fract_y
_atom_site_fract_z
La1 La 0.0000 0.0000 0.0000
La2 La 0.0000 0.0000 0.2705
Tb1 Tb 0.0000 0.0000 0.0948
Tb2 Tb 0.0000 0.0000 0.1821
Tb3 Tb 0.0000 0.0000 0.3648
Sc1 Sc 0.0000 0.0000 0.4563
```

=====

VASP calculation (GGA-PBE) on an optimized crystal structure of ZrRhS2.

Values from the calculation:
Electronic total energy ... -6.83 eV per atom
Polymorph energy (0 for the lowest one) ... 0 meV/atom
Calculated volume ... 19.3 Å³ per atom
ΔE_f (raw) ... -0.80 eV per atom

CIF file:
```
data_ZrRhS2
_chemical_formula_sum 'Zr4 Rh4 S8'
_symmetry_space_group_name_H-M 'I -4 2 d'
_symmetry_Int_Tables_number 122
_symmetry_space_group_name_Hall 'I -4 2bw'
_cell_length_a 4.6530
_cell_length_b 4.6530
_cell_length_c 14.2453
_cell_angle_alpha 90.00
_cell_angle_beta 90.00
_cell_angle_gamma 90.00
loop_
_atom_site_label
_atom_site_type_symbol
_atom_site_fract_x
_atom_site_fract_y
_atom_site_fract_z
Zr1 Zr 0.0000 0.0000 0.0000
Rh1 Rh 0.0000 0.0000 0.5000
S1 S 0.2222 0.2500 0.6250
```

=====

VASP calculation (GGA-PBE) on an optimized crystal structure of Zn2NiCl.

Values from the calculation:
Electronic total energy ... -2.46 eV per atom
Polymorph energy (0 for the lowest one) ... 289 meV/atom
Calculated volume ... 16.2 Å³ per atom
ΔE_f (raw) ... 0.09 eV per atom

CIF file:
```
data_Zn2NiCl
_chemical_formula_sum 'Zn4 Ni2 Cl2'
_symmetry_space_group_name_H-M 'C m m 2'
_symmetry_Int_Tables_number 35
_cell_length_a 3.0790
_cell_length_b 5.3530
_cell_length_c 7.8545
_cell_angle_alpha 90.00
_cell_angle_beta 90.00
_cell_angle_gamma 90.00
loop_
_symmetry_equiv_pos_as_xyz
'x,y,z'
'-x,-y,z'
'-x,y,z'
'x,-y,z'
'x+1/2,y+1/2,z'
'-x+1/2,-y+1/2,z'
'-x+1/2,y+1/2,z'
'x+1/2,-y+1/2,z'
loop_
_atom_site_label
_atom_site_type_symbol
_atom_site_fract_x
_atom_site_fract_y
_atom_site_fract_z
Zn1 Zn 0.0000 0.0000 0.0000
Zn2 Zn 0.0000 0.5000 0.2691
Ni1 Ni 0.0000 0.0000 0.5040
Cl1 Cl 0.0000 0.5000 0.7331
```

=====

VASP calculation (GGA-PBE) on an optimized crystal structure of LiCePdRu.

Values from the calculation:
Electronic total energy ... -5.87 eV per atom
Calculated formation energy ... -295 meV per atom
Calculated volume ... 17.5 Å³ per atom

CIF file:
```
data_LiCePdRu
_chemical_formula_sum 'Li4 Ce4 Pd4 Ru4'
_symmetry_space_group_name_H-M 'F -4 3 m'
_symmetry_Int_Tables_number 216
_symmetry_space_group_name_Hall 'F -4 2 3'
_cell_length_a 6.5472
_cell_length_b 6.5472
_cell_length_c 6.5472
_cell_angle_alpha 90.00
_cell_angle_beta 90.00
_cell_angle_gamma 90.00
loop_
_atom_site_label
_atom_site_type_symbol
_atom_site_fract_x
_atom_site_fract_y
_atom_site_fract_z
Li1 Li 0.0000 0.0000 0.0000
Ce1 Ce 0.0000 0.0000 0.5000
Pd1 Pd 0.2500 0.2500 0.2500
Ru1 Ru 0.2500 0.2500 0.7500
```

=====

VASP calculation (GGA-PBE) on an optimized crystal structure of SnSbTeAs2.

Values from the calculation:
Electronic total energy ... -3.27 eV per atom
Calculated volume ... 32.5 Å³ per atom
ΔE_f (raw) ... 0.85 eV per atom

CIF file:
```
data_SnSbTeAs2
_chemical_formula_sum 'Sn1 Sb1 Te1 As2'
_symmetry_space_group_name_H-M 'P 4/m m m'
_symmetry_Int_Tables_number 123
_symmetry_space_group_name_Hall '-P 4 2'
_cell_length_a 5.3118
_cell_length_b 5.3118
_cell_length_c 5.7612
_cell_angle_alpha 90.00
_cell_angle_beta 90.00
_cell_angle_gamma 90.00
loop_
_atom_site_label
_atom_site_type_symbol
_atom_site_fract_x
_atom_site_fract_y
_atom_site_fract_z
Sn1 Sn 0.0000 0.0000 0.0000
Sb1 Sb 0.5000 0.5000 0.0000
Te1 Te 0.5000 0.5000 0.5000
As1 As 0.0000 0.5000 0.5000
```